# K2Ti3Cl10

Crystalline K2Ti3Cl10 at its relaxed geometry (GGA-PBE, the Alexandria database).

a = 7.143 Å, b = 9.849 Å, c = 12.244 Å
α = 111.04°, β = 106.96°, γ = 90.00°
Fractional positions:
K 0.726 0.325 0.452
K 0.274 0.675 0.548
K 0.624 0.731 0.248
K 0.376 0.269 0.752
Ti 0.921 0.518 0.843
Ti 0.079 0.482 0.157
Ti 0.821 0.979 0.642
Ti 0.179 0.021 0.358
Ti 0.760 0.000 0.000
Ti 0.240 0.000 0.000
Cl 0.641 0.968 0.780
Cl 0.140 0.968 0.780
Cl 0.359 0.032 0.220
Cl 0.860 0.032 0.220
Cl 0.612 0.531 0.715
Cl 0.103 0.531 0.715
Cl 0.388 0.469 0.285
Cl 0.897 0.469 0.285
Cl 0.977 0.802 0.955
Cl 0.023 0.198 0.045
Cl 0.870 0.249 0.741
Cl 0.130 0.751 0.259
Cl 0.768 0.724 0.536
Cl 0.232 0.276 0.464
Cl 0.482 0.823 0.963
Cl 0.518 0.177 0.037
Cl 0.772 0.500 0.000
Cl 0.228 0.500 0.000
Cl 0.500 0.000 0.500
Cl 0.000 0.000 0.500

Properties
The space group is C2/m, No. 12. As for the total magnetization: 4.0 μB/f.u. The value obtained for the formation energy (no corrections) is -1.64 eV/atom.